Run 1
A relaxed structure of Na2Cl. Source: Alexandria, functional GGA-PBE.

* spin magnetization: 0.00 μB per cell
* crystal system: tetragonal

```
Na2Cl
1.0
3.534 0.000 0.000
0.000 3.534 0.000
0.000 0.000 12.885
Na Cl
4 2
direct
0.000 0.000 0.233
0.000 0.000 0.767
0.000 0.000 0.500
0.500 0.500 0.000
0.500 0.500 0.363
0.500 0.500 0.637
```

Run 2
A relaxed structure of Na2Cl. Source: Alexandria, functional GGA-PBE.

* spin magnetization: 0.00 μB per cell
* crystal system: trigonal

```
Na2Cl
1.0
7.039 -0.017 -0.010
5.950 3.762 -0.010
5.950 1.715 3.348
Na Cl
2 1
direct
0.248 0.248 0.248
0.752 0.752 0.752
0.000 0.000 0.000
```

It is run 2 that is the most stable of them.